[1]
Computed, not measured: crystalline ReBiI2N at its relaxed geometry at the PBE-GGA level of DFT.

Output
Formation energy without anion corrections   1.812 eV per atom
Calculated volume   34.6 A^3/atom
DOS(E_F)   6.401 states/eV/f.u.
Energy above the lowest structure with this stoichiometry   6.43 eV per formula unit
Total magnetic moment   5.867 μB/f.u.

The structure in POSCAR format:
```
ReBiI2N
1.0
6.384 0.000 0.000
0.000 6.384 0.000
0.000 0.000 4.243
Re Bi I N
1 1 2 1
direct
0.000 0.000 0.000 Re
0.500 0.500 0.500 Bi
0.000 0.500 0.500 I
0.500 0.000 0.500 I
0.500 0.500 0.000 N
```

=====

[2]
Computed, not measured: crystalline Si2Se at its relaxed geometry at the PBE-GGA level of DFT.

Output
Formation energy without anion corrections   0.136 eV per atom
Calculated volume   20.5 A^3/atom
DOS(E_F)   0.901 states/eV/f.u.
Energy above the lowest structure with this stoichiometry   0.91 eV per formula unit
Total magnetic moment   0.000 μB/f.u.

The structure in POSCAR format:
```
Si2Se
1.0
5.524 -1.758 0.000
5.524 1.758 0.000
-1.542 0.000 6.321
Si Se
4 2
direct
0.000 0.000 0.000 Si
0.017 0.017 0.376 Si
0.320 0.320 0.995 Si
0.648 0.648 0.942 Si
0.356 0.356 0.374 Se
0.659 0.659 0.575 Se
```

=====

[3]
Computed, not measured: crystalline PmIn2Au2 at its relaxed geometry at the PBE-GGA level of DFT.

Output
Calculated volume   24.3 A^3/atom
DOS(E_F)   2.131 states/eV/f.u.
Energy above the lowest structure with this stoichiometry   0.20 eV per formula unit
Total magnetic moment   0.000 μB/f.u.
Energy of formation from the pure elements   -492 meV per atom

The structure in POSCAR format:
```
PmIn2Au2
1.0
4.762 0.000 0.000
0.000 4.612 0.000
-0.192 0.000 11.050
Pm In Au
2 4 4
direct
0.204 0.250 0.265 Pm
0.796 0.750 0.735 Pm
0.278 0.750 0.003 In
0.322 0.250 0.629 In
0.678 0.750 0.371 In
0.722 0.250 0.997 In
0.193 0.750 0.499 Au
0.205 0.250 0.863 Au
0.795 0.750 0.137 Au
0.807 0.250 0.501 Au
```

=====

[4]
Computed, not measured: crystalline Mo3H3Au at its relaxed geometry at the PBE-GGA level of DFT.

Output
Calculated volume   10.6 A^3/atom
DOS(E_F)   3.988 states/eV/f.u.
Total magnetic moment   0.000 μB/f.u.
Total energy   -6.37 eV/atom

The structure in POSCAR format:
```
Mo3H3Au
1.0
5.290 0.000 0.000
0.000 5.290 0.000
0.000 0.000 5.290
Mo H Au
6 6 2
direct
0.000 0.250 0.500 Mo
0.000 0.750 0.500 Mo
0.250 0.500 0.000 Mo
0.500 0.000 0.250 Mo
0.500 0.000 0.750 Mo
0.750 0.500 0.000 Mo
0.000 0.500 0.250 H
0.000 0.500 0.750 H
0.250 0.000 0.500 H
0.500 0.250 0.000 H
0.500 0.750 0.000 H
0.750 0.000 0.500 H
0.000 0.000 0.000 Au
0.500 0.500 0.500 Au
```

=====

[5]
Computed, not measured: crystalline CuTcP2S at its relaxed geometry at the PBE-GGA level of DFT.

Output
Formation energy without anion corrections   0.741 eV per atom
Calculated volume   20.2 A^3/atom
DOS(E_F)   5.453 states/eV/f.u.
Energy above the lowest structure with this stoichiometry   0.00 eV per formula unit
Total magnetic moment   0.000 μB/f.u.

The structure in POSCAR format:
```
CuTcP2S
1.0
4.478 0.000 0.000
0.000 4.478 0.000
0.000 0.000 5.043
Cu Tc P S
1 1 2 1
direct
0.000 0.000 0.000 Cu
0.500 0.500 0.500 Tc
0.000 0.500 0.500 P
0.500 0.000 0.500 P
0.500 0.500 0.000 S
```

=====

Question: The highest total magnetic moment belongs to which entry?
Answer: ReBiI2N